Below is a relaxed structure of Zn2ClO, with properties calculated at the GGA-PBE level.

Unit cell a=4.674 b=5.650 c=6.224 alpha=80.67 beta=69.57 gamma=66.30
Fractional coordinates of all 8 atoms:
Zn 0.795 0.543 0.463
Zn 0.577 0.213 0.376
Zn 0.983 0.058 0.606
Zn 0.381 0.782 0.147
Cl 0.034 0.118 0.979
Cl 0.841 0.695 0.804
O 0.246 0.499 0.277
O 0.463 0.894 0.406

Properties
Total magnetic moment ... 0.000 μB per cell
Offset from the most stable computed form ... 50.9 meV/atom
SG ... No. 1
Electronic total energy ... -3.3181 eV per atom
Calculated volume ... 70 Å³/f.u.